Entry from the Alexandria database: an optimized crystal structure of CrHg2F (PBE+U).

CIF file:
```
data_CrHg2F
_space_group_name_H-M_alt 'P 1'
_space_group_IT_number 1
_cell_length_a 6.824
_cell_length_b 6.824
_cell_length_c 6.824
_cell_angle_alpha 90.00
_cell_angle_beta 90.00
_cell_angle_gamma 90.00
loop_
_space_group_symop_operation_xyz
'x,y,z'
loop_
_atom_site_label
_atom_site_type_symbol
_atom_site_fract_x
_atom_site_fract_y
_atom_site_fract_z
Cr1 Cr 0.000 0.000 0.000
Cr2 Cr 0.000 0.500 0.500
Cr3 Cr 0.500 0.000 0.500
Cr4 Cr 0.500 0.500 0.000
Hg1 Hg 0.250 0.250 0.250
Hg2 Hg 0.250 0.250 0.750
Hg3 Hg 0.250 0.750 0.250
Hg4 Hg 0.250 0.750 0.750
Hg5 Hg 0.750 0.250 0.250
Hg6 Hg 0.750 0.250 0.750
Hg7 Hg 0.750 0.750 0.250
Hg8 Hg 0.750 0.750 0.750
F1 F 0.000 0.000 0.500
F2 F 0.000 0.500 0.000
F3 F 0.500 0.000 0.000
F4 F 0.500 0.500 0.500
```

Computed properties:
Spin magnetization ... 1.21 μB/atom
Energy above the most stable polymorph in this dataset ... 76.2 meV/atom
Calculated volume ... 317.8 Å³ per cell